(1)
First-principles (PBE-GGA) data for a relaxed structure of Na2LiIr, as listed in Alexandria via LeMat-Bulk.

Energy of formation ... 49 kJ per mole of atoms

Cell and atoms, written as POSCAR:
```
Na2LiIr
1.0
0.000 3.398 3.398
3.398 0.000 3.398
3.398 3.398 0.000
Na Li Ir
2 1 1
Direct
0.250 0.250 0.250
0.750 0.750 0.750
0.000 0.000 0.000
0.500 0.500 0.500
```

---

(2)
First-principles (PBE-GGA) data for a relaxed structure of NaNpInO6, as listed in Alexandria via LeMat-Bulk.

ΔE_f (raw) ... -1.85 eV/atom

Cell and atoms, written as POSCAR:
```
NaNpInO6
1.0
5.097 0.000 0.000
0.000 5.097 0.000
0.000 0.000 9.949
Na Np In O
2 2 2 12
Direct
0.000 0.000 0.000
0.500 0.500 0.500
0.000 0.000 0.664
0.500 0.500 0.164
0.000 0.000 0.329
0.500 0.500 0.829
0.179 0.179 0.511
0.197 0.197 0.806
0.217 0.217 0.178
0.283 0.717 0.678
0.303 0.697 0.306
0.321 0.679 0.011
0.679 0.321 0.011
0.697 0.303 0.306
0.717 0.283 0.678
0.783 0.783 0.178
0.803 0.803 0.806
0.821 0.821 0.511
```

---

(3)
First-principles (PBE-GGA) data for a relaxed structure of Pu8ZnIr6, as listed in Alexandria via LeMat-Bulk.

Energy of formation ... -2 kJ per mole of atoms

Cell and atoms, written as POSCAR:
```
Pu8ZnIr6
1.0
3.119 1.801 8.580
-3.119 1.801 8.580
0.000 -3.602 8.580
Pu Zn Ir
8 1 6
Direct
0.015 0.702 0.356
0.165 0.165 0.165
0.298 0.644 0.985
0.356 0.015 0.702
0.644 0.985 0.298
0.702 0.356 0.015
0.835 0.835 0.835
0.985 0.298 0.644
0.500 0.500 0.500
0.139 0.436 0.712
0.288 0.861 0.564
0.436 0.712 0.139
0.564 0.288 0.861
0.712 0.139 0.436
0.861 0.564 0.288
```

---

(4)
First-principles (PBE-GGA) data for a relaxed structure of ScSi2Ru, as listed in Alexandria via LeMat-Bulk.

ΔE_f (raw) ... -0.56 eV/atom

Cell and atoms, written as POSCAR:
```
ScSi2Ru
1.0
2.960 0.000 0.000
0.000 2.960 0.000
0.000 0.000 6.847
Sc Si Ru
1 2 1
Direct
0.000 0.000 0.000
0.500 0.500 0.289
0.500 0.500 0.711
0.000 0.000 0.500
```

---

(5)
First-principles (PBE-GGA) data for a relaxed structure of CsRb2CrH6, as listed in Alexandria via LeMat-Bulk.

Cell and atoms, written as POSCAR:
```
CsRb2CrH6
1.0
6.335 0.000 0.000
0.000 9.042 0.000
0.000 0.000 6.474
Cs Rb Cr H
2 4 2 12
Direct
0.250 0.250 0.237
0.750 0.750 0.763
0.250 0.004 0.740
0.250 0.496 0.740
0.750 0.504 0.260
0.750 0.996 0.260
0.250 0.750 0.260
0.750 0.250 0.740
0.055 0.750 0.070
0.055 0.750 0.449
0.250 0.558 0.263
0.250 0.942 0.263
0.445 0.750 0.070
0.445 0.750 0.449
0.555 0.250 0.551
0.555 0.250 0.930
0.750 0.058 0.737
0.750 0.442 0.737
0.945 0.250 0.551
0.945 0.250 0.930
```

---

(6)
First-principles (PBE-GGA) data for a relaxed structure of Cs3HgCl5, as listed in Alexandria via LeMat-Bulk.

ΔE_f (raw) ... -1.55 eV/atom

Cell and atoms, written as POSCAR:
```
Cs3HgCl5
1.0
9.230 0.000 0.000
0.000 10.934 0.000
0.000 0.000 13.872
Cs Hg Cl
12 4 20
Direct
0.089 0.250 0.046
0.093 0.026 0.332
0.093 0.474 0.332
0.407 0.526 0.832
0.407 0.974 0.832
0.411 0.750 0.546
0.589 0.250 0.454
0.593 0.026 0.168
0.593 0.474 0.168
0.907 0.526 0.668
0.907 0.974 0.668
0.911 0.750 0.954
0.198 0.250 0.614
0.302 0.750 0.114
0.698 0.250 0.886
0.802 0.750 0.386
0.036 0.750 0.489
0.130 0.250 0.789
0.156 0.750 0.764
0.187 0.551 0.065
0.187 0.949 0.065
0.313 0.051 0.565
0.313 0.449 0.565
0.344 0.250 0.264
0.370 0.750 0.289
0.464 0.250 0.989
0.536 0.750 0.011
0.630 0.250 0.711
0.656 0.750 0.736
0.687 0.551 0.435
0.687 0.949 0.435
0.813 0.051 0.935
0.813 0.449 0.935
0.844 0.250 0.236
0.870 0.750 0.211
0.964 0.250 0.511
```

---

(7)
First-principles (PBE-GGA) data for a relaxed structure of Cs2CaSbI6, as listed in Alexandria via LeMat-Bulk.

ΔE_f (raw) ... -1.08 eV/atom

Cell and atoms, written as POSCAR:
```
Cs2CaSbI6
1.0
-4.353 4.353 6.735
4.353 -4.353 6.735
4.353 4.353 -6.735
Cs Ca Sb I
2 1 1 6
Direct
0.250 0.750 0.500
0.750 0.250 0.500
0.000 0.000 0.000
0.500 0.500 0.000
0.227 0.227 0.000
0.255 0.255 0.511
0.255 0.745 0.000
0.745 0.255 0.000
0.745 0.745 0.489
0.773 0.773 0.000
```

---

(8)
First-principles (PBE-GGA) data for a relaxed structure of LaZn2Re, as listed in Alexandria via LeMat-Bulk.

Energy of formation ... 41 kJ per mole of atoms

Cell and atoms, written as POSCAR:
```
LaZn2Re
1.0
2.920 -4.256 0.000
2.920 4.256 0.000
-0.256 0.000 3.007
La Zn Re
1 2 1
Direct
0.000 0.000 0.000
0.000 0.500 0.500
0.500 0.000 0.500
0.500 0.500 0.000
```

---

no.,total moment (μB per formula unit),uncorrected energy (eV per atom)
1,0.0,-2.845
2,1.0,-7.041
3,9.2,-11.296
4,0.6,-7.169
5,3.0,-3.389
6,0.2,-2.893
7,1.0,-2.795
8,0.0,-4.559